Computed, not measured: a relaxed structure of Cs2Be2HgCl6 at the PBE level of DFT.

Unit cell a=7.2326 b=7.2978 c=9.3419 alpha=103.27 beta=90.50 gamma=119.47
Closest atoms and distances in Å follow each position.
Space group P-1 (No. 2)
One atom of each set of equivalent atoms:
Cs (0.1761, 0.3519, 0.2288) [2 per cell]  9 Cl 3.68-3.88, 2 Be 4.10-4.12
Be (0.1536, 0.3000, 0.7819) [2 per cell]  3 Cl 1.92
Hg (0.5000, 0.0000, 0.5000) [1 per cell]  6 Cl 3.75-3.89
Cl (0.1202, 0.7939, 0.1490) [2 per cell]  1 Be 1.92
Cl (0.2440, 0.4832, 0.6480) [2 per cell]  1 Be 1.92
Cl (0.3329, 0.2042, 0.8525) [2 per cell]  1 Be 1.92

As for the formation energy without anion corrections: -1.517 eV/atom. For the calculated volume, the calculation gives 37.59 Å³ per atom. Its total energy is -3.384 eV per atom.